Record 1
! PBE-GGA Co5Tc, optimized geometry; values from VASP
&SYSTEM
  ibrav = 0, nat = 6, ntyp = 2
/
ATOMIC_SPECIES
Co 58.93 Co.upf
Tc 98.00 Tc.upf
CELL_PARAMETERS angstrom
4.618 -1.274 0.000
4.618 1.274 0.000
-1.495 0.000 5.807
ATOMIC_POSITIONS crystal
Co 0.000 0.000 0.000
Co 0.056 0.056 0.599
Co 0.339 0.339 0.656
Co 0.396 0.396 0.279
Co 0.672 0.672 0.332
Tc 0.724 0.724 0.939
! **DFT formation energy**: 71 meV per atom
! **Energy above the lowest structure with this stoichiometry**: 16 meV/atom

Record 2
! PBE-GGA PrGa4Ru4, optimized geometry; values from VASP
&SYSTEM
  ibrav = 0, nat = 18, ntyp = 3
/
ATOMIC_SPECIES
Pr 140.91 Pr.upf
Ga 69.72 Ga.upf
Ru 101.07 Ru.upf
CELL_PARAMETERS angstrom
5.847 0.000 0.000
0.000 5.847 0.000
0.000 0.000 9.033
ATOMIC_POSITIONS crystal
Pr 0.250 0.750 0.250
Pr 0.750 0.250 0.750
Ga 0.032 0.250 0.052
Ga 0.250 0.032 0.552
Ga 0.250 0.468 0.552
Ga 0.468 0.250 0.052
Ga 0.532 0.750 0.948
Ga 0.750 0.532 0.448
Ga 0.750 0.968 0.448
Ga 0.968 0.750 0.948
Ru 0.027 0.250 0.341
Ru 0.250 0.027 0.841
Ru 0.250 0.473 0.841
Ru 0.473 0.250 0.341
Ru 0.527 0.750 0.659
Ru 0.750 0.527 0.159
Ru 0.750 0.973 0.159
Ru 0.973 0.750 0.659
! **DFT formation energy**: -306 meV per atom